DFT (PBE) results for a geometry-optimized Ba2InGaCu structure. Values from VASP.

```
&SYSTEM
  ibrav = 0, nat = 5, ntyp = 4
/
ATOMIC_SPECIES
Ba 137.33 Ba.upf
In 114.82 In.upf
Ga 69.72 Ga.upf
Cu 63.55 Cu.upf
CELL_PARAMETERS angstrom
6.208 0.000 0.000
0.000 6.208 0.000
0.000 0.000 4.633
ATOMIC_POSITIONS crystal
Ba 0.000 0.500 0.000
Ba 0.500 0.000 0.000
In 0.000 0.000 0.500
Ga 0.500 0.500 0.500
Cu 0.500 0.500 0.000
```

As for the space-group type: P4/mmm, No. 123. The crystal system is tetragonal.

***

DFT (PBE) results for a geometry-optimized BaGaCuIr structure. Values from VASP.

```
&SYSTEM
  ibrav = 0, nat = 4, ntyp = 4
/
ATOMIC_SPECIES
Ba 137.33 Ba.upf
Ga 69.72 Ga.upf
Cu 63.55 Cu.upf
Ir 192.22 Ir.upf
CELL_PARAMETERS angstrom
2.192 1.265 5.661
-2.192 1.265 5.661
0.000 -2.531 5.661
ATOMIC_POSITIONS crystal
Ba 0.000 0.000 0.000
Ga 0.485 0.485 0.485
Cu 0.185 0.185 0.185
Ir 0.808 0.808 0.808
```

As for the space-group type: R3m, No. 160. The crystal system is trigonal.

***

What are the energy of formation values for these records? In order: -0.165; -0.310 eV per atom.
What are the DOS at the Fermi energy values for these records? In order: 3.4; 2.8 states/eV/cell.
What are the magnetic moment values for these records? In order: 0.00; 0.00 μB per cell.